Entry 1:
Material: BeSbCl
Method: DFT, PBE
State: optimized geometry

Unit cell a=6.426 b=6.426 c=6.426 alpha=90.00 beta=90.00 gamma=90.00
Space group F-43m (No. 216)
Asymmetric unit:
1 Be 0.000 0.000 0.000 x4
2 Sb 0.250 0.250 0.750 x4
3 Cl 0.250 0.250 0.250 x4

Output
uncorrected formation energy = 587 meV/atom
uncorrected energy = -0.097 Ha/atom
magnetic moment = 0.000 Bohr magnetons per cell
relative energy among the computed polymorphs = 916 meV per atom



Entry 2:
Material: Be2SbCl
Method: DFT, PBE
State: optimized geometry

Unit cell a=3.661 b=3.354 c=11.822 alpha=90.00 beta=90.00 gamma=90.00
Space group Amm2 (No. 38)
Asymmetric unit:
1 Be 0.000 0.000 0.000 x2
2 Be 0.000 0.000 0.187 x2
3 Sb 0.500 0.000 0.611 x2
4 Cl 0.000 0.000 0.362 x2

Output
uncorrected formation energy = 34 meV/atom
uncorrected energy = -0.122 Ha/atom
magnetic moment = 0.000 Bohr magnetons per cell
relative energy among the computed polymorphs = 189 meV per atom



Entry 3:
Material: BeSb2Cl
Method: DFT, PBE
State: optimized geometry

Unit cell a=6.066 b=6.066 c=12.459 alpha=90.00 beta=90.00 gamma=90.00
Space group I-42d (No. 122)
Asymmetric unit:
1 Be 0.000 0.000 0.000 x4
2 Sb 0.160 0.250 0.125 x8
3 Cl 0.000 0.000 0.500 x4

Output
uncorrected formation energy = 289 meV/atom
uncorrected energy = -0.116 Ha/atom
magnetic moment = 0.000 Bohr magnetons per cell
relative energy among the computed polymorphs = 431 meV per atom



Entry 4:
Material: BeSb3Cl
Method: DFT, PBE
State: optimized geometry

Unit cell a=4.957 b=4.957 c=4.957 alpha=90.00 beta=90.00 gamma=90.00
Space group Pm-3m (No. 221)
Asymmetric unit:
1 Be 0.000 0.000 0.000 x1
2 Sb 0.000 0.000 0.500 x3
3 Cl 0.500 0.500 0.500 x1

Output
uncorrected formation energy = 352 meV/atom
uncorrected energy = -0.119 Ha/atom
magnetic moment = 0.000 Bohr magnetons per cell
relative energy among the computed polymorphs = 0 meV per atom



Entry 5:
Material: Be2SbCl
Method: DFT, PBE
State: optimized geometry

Unit cell a=6.562 b=6.562 c=6.562 alpha=90.00 beta=90.00 gamma=90.00
Space group F-43m (No. 216)
Asymmetric unit:
1 Be 0.000 0.000 0.000 x4
2 Be 0.250 0.250 0.250 x4
3 Sb 0.250 0.250 0.750 x4
4 Cl 0.000 0.000 0.500 x4

Output
uncorrected formation energy = 867 meV/atom
uncorrected energy = -0.091 Ha/atom
magnetic moment = 0.000 Bohr magnetons per cell
relative energy among the computed polymorphs = 1022 meV per atom



Entry 6:
Material: Be2SbCl
Method: DFT, PBE
State: optimized geometry

Unit cell a=6.964 b=6.924 c=3.305 alpha=90.00 beta=106.56 gamma=90.00
Space group C2/m (No. 12)
Asymmetric unit:
1 Be 0.250 0.250 0.000 x4
2 Sb 0.000 0.000 0.000 x2
3 Cl 0.000 0.500 0.000 x2

Output
uncorrected formation energy = 294 meV/atom
uncorrected energy = -0.113 Ha/atom
magnetic moment = 0.000 Bohr magnetons per cell
relative energy among the computed polymorphs = 449 meV per atom



Entry 7:
Material: Be2SbCl
Method: DFT, PBE
State: optimized geometry

Unit cell a=5.375 b=5.375 c=11.129 alpha=90.00 beta=90.00 gamma=90.00
Space group I-42d (No. 122)
Asymmetric unit:
1 Be 0.243 0.250 0.125 x8
2 Sb 0.000 0.000 0.500 x4
3 Cl 0.000 0.000 0.000 x4

Output
uncorrected formation energy = -120 meV/atom
uncorrected energy = -0.128 Ha/atom
magnetic moment = 0.000 Bohr magnetons per cell
relative energy among the computed polymorphs = 36 meV per atom



Entry 8:
Material: BeSb2Cl
Method: DFT, PBE
State: optimized geometry

Unit cell a=3.988 b=5.555 c=7.994 alpha=90.00 beta=90.00 gamma=90.00
Space group Cmmm (No. 65)
Asymmetric unit:
1 Be 0.000 0.000 0.000 x2
2 Sb 0.000 0.500 0.200 x4
3 Cl 0.000 0.000 0.500 x2

Output
uncorrected formation energy = 109 meV/atom
uncorrected energy = -0.123 Ha/atom
magnetic moment = 0.000 Bohr magnetons per cell
relative energy among the computed polymorphs = 251 meV per atom



Entry 9:
Material: Be2SbCl
Method: DFT, PBE
State: optimized geometry

Unit cell a=3.706 b=3.706 c=5.093 alpha=90.00 beta=90.00 gamma=90.00
Space group P4mm (No. 99)
Asymmetric unit:
1 Be 0.000 0.000 0.000 x1
2 Be 0.500 0.500 0.418 x1
3 Sb 0.500 0.500 0.913 x1
4 Cl 0.000 0.000 0.407 x1

Output
uncorrected formation energy = 144 meV/atom
uncorrected energy = -0.118 Ha/atom
magnetic moment = 0.000 Bohr magnetons per cell
relative energy among the computed polymorphs = 300 meV per atom



Entry 10:
Material: BeSb2TeCl
Method: DFT, PBE
State: optimized geometry

Unit cell a=5.019 b=5.019 c=4.913 alpha=90.00 beta=90.00 gamma=90.00
Space group P4/mmm (No. 123)
Asymmetric unit:
1 Be 0.000 0.000 0.000 x1
2 Sb 0.000 0.500 0.000 x2
3 Te 0.000 0.000 0.500 x1
4 Cl 0.500 0.500 0.500 x1

Output
uncorrected formation energy = 301 meV/atom
uncorrected energy = -0.114 Ha/atom
magnetic moment = 0.000 Bohr magnetons per cell
relative energy among the computed polymorphs = 0 meV per atom



Entry 11:
Material: BeSbTe2Cl
Method: DFT, PBE
State: optimized geometry

Unit cell a=4.926 b=4.926 c=5.156 alpha=90.00 beta=90.00 gamma=90.00
Space group P4/mmm (No. 123)
Asymmetric unit:
1 Be 0.000 0.000 0.000 x1
2 Sb 0.000 0.000 0.500 x1
3 Te 0.000 0.500 0.000 x2
4 Cl 0.500 0.500 0.500 x1

Output
uncorrected formation energy = 274 meV/atom
uncorrected energy = -0.107 Ha/atom
magnetic moment = 0.000 Bohr magnetons per cell
relative energy among the computed polymorphs = 0 meV per atom



Entry 12:
Material: BeTlSbCl6
Method: DFT, PBE
State: optimized geometry

Unit cell a=6.9941 b=6.9941 c=7.4461 alpha=90.00 beta=90.00 gamma=120.00
Space group P3 (No. 143)
Asymmetric unit:
1 Be 0.0000 0.0000 0.0000 x1
2 Tl 0.6667 0.3333 0.2618 x1
3 Sb 0.3333 0.6667 0.7154 x1
4 Cl 0.0071 0.2795 0.0047 x3
5 Cl 0.0514 0.6898 0.5444 x3

Output
uncorrected formation energy = -1086 meV/atom
uncorrected energy = -0.127 Ha/atom
magnetic moment = 0.000 Bohr magnetons per cell



Entry 13:
Material: BeVSb2Cl
Method: DFT, PBE
State: optimized geometry

Unit cell a=5.429 b=5.429 c=4.350 alpha=90.00 beta=90.00 gamma=90.00
Space group P4/mmm (No. 123)
Asymmetric unit:
1 Be 0.000 0.000 0.000 x1
2 V 0.500 0.500 0.000 x1
3 Sb 0.000 0.500 0.500 x2
4 Cl 0.500 0.500 0.500 x1

Output
uncorrected formation energy = 1168 meV/atom
uncorrected energy = -0.126 Ha/atom
magnetic moment = 2.574 Bohr magnetons per cell



Entry 14:
Material: ScBeCl2
Method: DFT, PBE
State: optimized geometry

Unit cell a=3.280 b=4.010 c=5.478 alpha=90.00 beta=90.00 gamma=90.00
Space group Pmmm (No. 47)
Asymmetric unit:
1 Sc 0.000 0.000 0.000 x1
2 Be 0.500 0.000 0.500 x1
3 Cl 0.000 0.500 0.500 x1
4 Cl 0.500 0.500 0.000 x1

Output
uncorrected formation energy = -400 meV/atom
uncorrected energy = -0.141 Ha/atom
magnetic moment = 0.000 Bohr magnetons per cell
relative energy among the computed polymorphs = 514 meV per atom



Entry 15:
Material: Sc2BeCl
Method: DFT, PBE
State: optimized geometry

Unit cell a=3.3154 b=3.3154 c=28.9521 alpha=90.00 beta=90.00 gamma=120.00
Space group R3m (No. 160, hexagonal axes)
Asymmetric unit:
1 Sc 0.0000 0.0000 0.0000 x3
2 Sc 0.0000 0.0000 0.2424 x3
3 Be 0.0000 0.0000 0.7313 x3
4 Cl 0.0000 0.0000 0.5159 x3

Output
uncorrected formation energy = -213 meV/atom
uncorrected energy = -0.175 Ha/atom
magnetic moment = 2.189 Bohr magnetons per cell
relative energy among the computed polymorphs = 366 meV per atom



Entry 16:
Material: ScBe2Cl
Method: DFT, PBE
State: optimized geometry

Unit cell a=6.437 b=6.437 c=6.437 alpha=90.00 beta=90.00 gamma=90.00
Space group Fm-3m (No. 225)
Asymmetric unit:
1 Sc 0.000 0.000 0.000 x4
2 Be 0.250 0.250 0.250 x8
3 Cl 0.000 0.000 0.500 x4

Output
uncorrected formation energy = 846 meV/atom
uncorrected energy = -0.113 Ha/atom
magnetic moment = 0.003 Bohr magnetons per cell
relative energy among the computed polymorphs = 1118 meV per atom



Entry 17:
Material: ScBe2Cl
Method: DFT, PBE
State: optimized geometry

Unit cell a=4.882 b=8.355 c=3.165 alpha=90.00 beta=90.00 gamma=90.00
Space group Cmmm (No. 65)
Asymmetric unit:
1 Sc 0.000 0.000 0.000 x2
2 Be 0.250 0.250 0.500 x4
3 Cl 0.000 0.500 0.000 x2

Output
uncorrected formation energy = 203 meV/atom
uncorrected energy = -0.136 Ha/atom
magnetic moment = 0.001 Bohr magnetons per cell
relative energy among the computed polymorphs = 475 meV per atom



Entry 18:
Material: Sc2BeCl
Method: DFT, PBE
State: optimized geometry

Unit cell a=5.631 b=5.631 c=12.130 alpha=90.00 beta=90.00 gamma=90.00
Space group I-42d (No. 122)
Asymmetric unit:
1 Sc 0.226 0.250 0.125 x8
2 Be 0.000 0.000 0.000 x4
3 Cl 0.000 0.000 0.500 x4

Output
uncorrected formation energy = -38 meV/atom
uncorrected energy = -0.169 Ha/atom
magnetic moment = 0.000 Bohr magnetons per cell
relative energy among the computed polymorphs = 541 meV per atom



Entry 19:
Material: Sc2BeCl
Method: DFT, PBE
State: optimized geometry

Unit cell a=3.1439 b=3.1439 c=28.7849 alpha=90.00 beta=90.00 gamma=120.00
Space group R-3m (No. 166, hexagonal axes)
Asymmetric unit:
1 Sc 0.0000 0.0000 0.0941 x6
2 Be 0.0000 0.0000 0.0000 x3
3 Cl 0.0000 0.0000 0.5000 x3

Output
uncorrected formation energy = 121 meV/atom
uncorrected energy = -0.163 Ha/atom
magnetic moment = 2.159 Bohr magnetons per cell
relative energy among the computed polymorphs = 700 meV per atom



Entry 20:
Material: ScBe2Cl
Method: DFT, PBE
State: optimized geometry

Unit cell a=6.568 b=3.444 c=5.892 alpha=90.00 beta=91.99 gamma=90.00
Space group Cm (No. 8)
Asymmetric unit:
1 Sc 0.000 0.000 0.000 x2
2 Be 0.155 0.500 0.324 x2
3 Be 0.337 0.000 0.256 x2
4 Cl 0.167 0.500 0.711 x2

Output
uncorrected formation energy = -272 meV/atom
uncorrected energy = -0.154 Ha/atom
magnetic moment = 0.000 Bohr magnetons per cell
relative energy among the computed polymorphs = 0 meV per atom